Compound: Na3NiP2
Source: the Alexandria database
Functional: PBE
Structure: relaxed

It has space group Cmcm (No. 63), with a = 8.268 Å, b = 9.839 Å, c = 6.008 Å, α = 90.00°, β = 90.00° and γ = 90.00°. The distinct sites, in fractional coordinates, are Na at (0.000, 0.069, 0.250), Na at (0.199, 0.242, 0.750), Ni at (0.000, 0.492, 0.250) and P at (0.206, 0.500, 0.000).

The calculation puts the mass density at 2.58 g/cm³. The density of states at the Fermi level comes out at 2.2 states/eV/f.u. As for the final energy: -0.2701 Ry/atom. As for the formation energy: -0.248 eV/atom.